No. 1
## LaAlCl (PBE-GGA)

Data for LaAlCl after structural relaxation.

uncorrected energy: -4.1896 eV per atom
symmetry: No. 156
spin magnetization: 0.000 μB/f.u.

a = 3.7598 Å, b = 3.7598 Å, c = 7.5196 Å
α = 90.00°, β = 90.00°, γ = 120.00°
Last column: nearest neighbours and their distance in Å.
Element x y z (fractional)
1 Cl 0.3333 0.6667 0.3897  3 La 2.93
2 Al 0.0000 0.0000 0.9595  3 La 3.18
3 La 0.6667 0.3333 0.6508  3 Cl 2.93, 3 Al 3.18

No. 2
## La5Al2Cl2 (PBE-GGA)

Data for La5Al2Cl2 after structural relaxation.

uncorrected energy: -4.7968 eV per atom
symmetry: No. 64
spin magnetization: 0.000 μB/f.u.

a = 8.1117 Å, b = 8.0667 Å, c = 8.7205 Å
α = 90.00°, β = 62.28°, γ = 90.00°
Last column: nearest neighbours and their distance in Å.
Element x y z (fractional)
1 La 0.0000 0.0000 0.0000  2 Cl 2.94, 4 Al 3.22-3.24
2 La 0.5000 0.5000 0.0000  2 Cl 2.94, 4 Al 3.22-3.24
3 La 0.4754 0.1585 0.7083  3 Cl 3.04-3.16, 3 Al 3.19-3.35
4 La 0.8163 0.8415 0.7083  3 Cl 3.04-3.16, 3 Al 3.19-3.35
5 La 0.3163 0.6585 0.7083  3 Cl 3.04-3.16, 3 Al 3.19-3.35
6 La 0.9754 0.3415 0.7083  3 Cl 3.04-3.16, 3 Al 3.19-3.35
7 La 0.5246 0.8415 0.2917  3 Cl 3.04-3.16, 3 Al 3.19-3.35
8 La 0.1837 0.1585 0.2917  3 Cl 3.04-3.16, 3 Al 3.19-3.35
9 La 0.6837 0.3415 0.2917  3 Cl 3.04-3.16, 3 Al 3.19-3.35
10 La 0.0246 0.6585 0.2917  3 Cl 3.04-3.16, 3 Al 3.19-3.35
11 Al 0.1201 0.3824 0.0000  1 Al 2.72
12 Al 0.8799 0.6176 0.0000  1 Al 2.72
13 Al 0.3799 0.8824 0.0000  1 Al 2.72
14 Al 0.6201 0.1176 0.0000  1 Al 2.72
15 Cl 0.1902 0.0000 0.6196  7 La 2.94-3.16
16 Cl 0.6902 0.5000 0.6196  7 La 2.94-3.16
17 Cl 0.8098 0.0000 0.3804  7 La 2.94-3.16
18 Cl 0.3098 0.5000 0.3804  7 La 2.94-3.16

No. 3
## LaAlCl (PBE-GGA)

Data for LaAlCl after structural relaxation.

uncorrected energy: -3.8012 eV per atom
symmetry: No. 216
spin magnetization: 0.004 μB/f.u.

a = 5.0787 Å, b = 5.0787 Å, c = 5.0787 Å
α = 60.00°, β = 60.00°, γ = 60.00°
Last column: nearest neighbours and their distance in Å.
Element x y z (fractional)
1 Cl 0.5000 0.5000 0.5000  4 La 3.11
2 Al 0.0000 0.0000 0.0000  4 La 3.11
3 La 0.7500 0.7500 0.7500  4 Al 3.11, 4 Cl 3.11

No. 4
## LaAlCl6 (PBE-GGA)

Data for LaAlCl6 after structural relaxation.

uncorrected energy: -4.3382 eV per atom
symmetry: No. 12
spin magnetization: 0.000 μB/f.u.

a = 6.4226 Å, b = 6.4893 Å, c = 6.9879 Å
α = 62.33°, β = 82.90°, γ = 74.56°
Last column: nearest neighbours and their distance in Å.
Element x y z (fractional)
1 La 0.0000 0.0000 0.0000  6 Cl 2.76-2.82
2 Al 0.5000 0.5000 0.0000  6 Cl 2.34-2.37
3 Cl 0.7136 0.4294 0.7298  1 Al 2.34
4 Cl 0.7136 0.1592 0.2702  1 Al 2.34
5 Cl 0.2864 0.8408 0.7298  1 Al 2.34
6 Cl 0.2864 0.5706 0.2702  1 Al 2.34
7 Cl 0.7266 0.7355 0.0000  1 Al 2.37
8 Cl 0.2734 0.2645 0.0000  1 Al 2.37

No. 5
## LaAlCl3 (PBE-GGA)

Data for LaAlCl3 after structural relaxation.

uncorrected energy: -4.1009 eV per atom
symmetry: No. 221
spin magnetization: 0.997 μB/f.u.

a = 5.6170 Å, b = 5.6170 Å, c = 5.6170 Å
α = 90.00°, β = 90.00°, γ = 90.00°
Last column: nearest neighbours and their distance in Å.
Element x y z (fractional)
1 Cl 0.0000 0.5000 0.0000  2 La 2.81
2 Cl 0.0000 0.0000 0.5000  2 La 2.81
3 Cl 0.5000 0.0000 0.0000  2 La 2.81
4 Al 0.5000 0.5000 0.5000  12 Cl 3.97
5 La 0.0000 0.0000 0.0000  6 Cl 2.81

No. 6
## LaAlP2Cl (PBE-GGA)

Data for LaAlP2Cl after structural relaxation.

symmetry: No. 123
spin magnetization: 0.000 μB/f.u.
offset from the most stable computed form: 0 meV per atom

a = 4.7184 Å, b = 4.7184 Å, c = 4.8369 Å
α = 90.00°, β = 90.00°, γ = 90.00°
Last column: nearest neighbours and their distance in Å.
Element x y z (fractional)
1 P 0.0000 0.5000 0.0000  2 Al 2.36
2 P 0.5000 0.0000 0.0000  2 Al 2.36
3 Cl 0.0000 0.0000 0.5000  2 Al 2.42
4 Al 0.0000 0.0000 0.0000  4 P 2.36, 2 Cl 2.42
5 La 0.5000 0.5000 0.5000  4 Cl 3.34, 8 P 3.38

No. 7
## LaAlP2Cl (PBE-GGA)

Data for LaAlP2Cl after structural relaxation.

symmetry: No. 123
spin magnetization: 0.894 μB/f.u.
offset from the most stable computed form: 913 meV per atom

a = 5.5999 Å, b = 5.5999 Å, c = 5.5061 Å
α = 90.00°, β = 90.00°, γ = 90.00°
Last column: nearest neighbours and their distance in Å.
Element x y z (fractional)
1 P 0.0000 0.5000 0.0000  2 La 2.80
2 P 0.5000 0.0000 0.0000  2 La 2.80
3 Cl 0.0000 0.0000 0.5000  2 La 2.75
4 Al 0.5000 0.5000 0.5000  8 P 3.93, 4 Cl 3.96
5 La 0.0000 0.0000 0.0000  2 Cl 2.75, 4 P 2.80

No. 8
## LaAlReCl2 (PBE-GGA)

Data for LaAlReCl2 after structural relaxation.

uncorrected energy: -4.8931 eV per atom
symmetry: No. 123
spin magnetization: 0.461 μB/f.u.

a = 4.8406 Å, b = 4.9501 Å, c = 4.8406 Å
α = 90.00°, β = 90.00°, γ = 90.00°
Last column: nearest neighbours and their distance in Å.
Element x y z (fractional)
1 Re 0.0000 0.0000 0.0000  4 Cl 2.42, 2 Al 2.48
2 Cl 0.0000 0.0000 0.5000  2 Re 2.42
3 Cl 0.5000 0.0000 0.0000  2 Re 2.42
4 Al 0.0000 0.5000 0.0000  2 Re 2.48
5 La 0.5000 0.5000 0.5000  4 Al 3.42, 8 Cl 3.46